First-principles (PBE) data for an optimized crystal structure of TbCeYTh, as listed in the Alexandria database.

a b c (Å): 8.016 8.016 8.016
angles (deg): 90.00 90.00 90.00
Space group F-43m (No. 216)
Inequivalent atoms, fractional coordinates:
Tb 0.000 0.000 0.000 (multiplicity 4)
Ce 0.000 0.000 0.500 (multiplicity 4)
Y 0.250 0.250 0.750 (multiplicity 4)
Th 0.250 0.250 0.250 (multiplicity 4)

Summary:
energy relative to the elements	0.23	eV/atom
excess energy over the best structure of this formula in the dataset	0.203	eV/atom
energy	-0.432	Ry per atom
density	8.0	Mg/m³

=====

First-principles (PBE) data for an optimized crystal structure of Rb2BiO, as listed in the Alexandria database.

a b c (Å): 11.635 11.635 4.739
angles (deg): 90.00 90.00 90.00
Space group I-42d (No. 122)
Inequivalent atoms, fractional coordinates:
Rb 0.063 0.750 0.125 (multiplicity 8)
Bi 0.000 0.000 0.500 (multiplicity 4)
O 0.000 0.000 0.000 (multiplicity 4)

Summary:
raw formation energy	-2.34	eV per formula unit
excess energy over the best structure of this formula in the dataset	0.000	eV/atom
energy	-0.241	Ry per atom
density	4.1	Mg/m³

=====

First-principles (PBE) data for an optimized crystal structure of PuBOsC, as listed in the Alexandria database.

a b c (Å): 3.679 3.679 7.807
angles (deg): 90.00 90.00 90.00
Space group P4/nmm (No. 129, origin choice 2)
Inequivalent atoms, fractional coordinates:
Pu 0.250 0.250 0.165 (multiplicity 2)
B 0.250 0.250 0.670 (multiplicity 2)
Os 0.250 0.750 0.500 (multiplicity 2)
C 0.250 0.250 0.869 (multiplicity 2)

Summary:
energy relative to the elements	-0.17	eV/atom
energy	-0.774	Ry per atom
density	14.4	Mg/m³

=====

First-principles (PBE) data for an optimized crystal structure of Be2NiCl, as listed in the Alexandria database.

a b c (Å): 2.817 4.209 4.268
angles (deg): 68.82 79.90 80.62
Space group P-1 (No. 2)
Inequivalent atoms, fractional coordinates:
Be 0.000 0.000 0.000 (multiplicity 1)
Be 0.000 0.500 0.500 (multiplicity 1)
Ni 0.500 0.000 0.500 (multiplicity 1)
Cl 0.500 0.500 0.000 (multiplicity 1)

Summary:
raw formation energy	1.40	eV per formula unit
excess energy over the best structure of this formula in the dataset	0.483	eV/atom
energy	-0.251	Ry per atom
density	4.0	Mg/m³

=====

First-principles (PBE) data for an optimized crystal structure of Sm2Y6Tm3Mg, as listed in the Alexandria database.

a b c (Å): 6.125 10.618 11.725
angles (deg): 90.00 100.11 90.00
Space group C2/m (No. 12)
Inequivalent atoms, fractional coordinates:
Sm 0.000 0.166 0.000 (multiplicity 4)
Y 0.249 0.334 0.252 (multiplicity 8)
Y 0.249 0.500 0.748 (multiplicity 4)
Tm 0.000 0.000 0.500 (multiplicity 2)
Tm 0.000 0.335 0.500 (multiplicity 4)
Mg 0.000 0.500 0.000 (multiplicity 2)

Summary:
energy relative to the elements	0.03	eV/atom
energy	-0.385	Ry per atom
density	6.0	Mg/m³

=====

First-principles (PBE) data for an optimized crystal structure of Ac3Pr8Er, as listed in the Alexandria database.

a b c (Å): 6.771 9.617 14.444
angles (deg): 90.00 90.00 90.00
Space group I222 (No. 23)
Inequivalent atoms, fractional coordinates:
Ac 0.000 0.000 0.000 (multiplicity 2)
Ac 0.000 0.500 0.369 (multiplicity 4)
Pr 0.132 0.342 0.101 (multiplicity 8)
Pr 0.140 0.149 0.294 (multiplicity 8)
Er 0.000 0.000 0.500 (multiplicity 2)

Summary:
energy relative to the elements	0.24	eV/atom
energy	-0.320	Ry per atom
density	7.0	Mg/m³

=====

Question: Among the records above, which one has the highest density?
Answer: PuBOsC

=====

Question: The lowest energy belongs to which entry?
Answer: PuBOsC

=====

Question: The lowest energy belongs to which entry?
Answer: PuBOsC

=====

Question: Look up the energy of the fifth one.
Answer: -0.385 Ry per atom